{"formula": "La3Nd5Ru2", "functional": "GGA-PBE", "state": "optimized geometry", "spacegroup": "Ibam, No. 72", "e_form_mev_per_atom": -88, "total_energy_ev_per_cell": -116.10, "lattice_angstrom": [[-5.186, 7.760, 4.170], [5.186, -7.760, 4.170], [5.186, 7.760, -4.170]], "species": ["La", "La", "La", "La", "La", "La", "Nd", "Nd", "Nd", "Nd", "Nd", "Nd", "Nd", "Nd", "Nd", "Nd", "Ru", "Ru", "Ru", "Ru"], "fractional_positions": [[0.116, 0.735, 0.852], [0.250, 0.250, 0.000], [0.384, 0.235, 0.619], [0.616, 0.765, 0.381], [0.750, 0.750, 0.000], [0.884, 0.265, 0.148], [0.000, 0.250, 0.750], [0.000, 0.750, 0.250], [0.135, 0.264, 0.399], [0.250, 0.750, 0.500], [0.365, 0.764, 0.129], [0.500, 0.250, 0.250], [0.500, 0.750, 0.750], [0.635, 0.236, 0.871], [0.750, 0.250, 0.500], [0.865, 0.736, 0.601], [0.129, 0.986, 0.115], [0.371, 0.486, 0.856], [0.629, 0.514, 0.144], [0.871, 0.014, 0.885]]}